1.
BiSbIO2, PBEsol geometry, DFT meta-GGA SCAN; density of states at the Fermi level = 0.42 states/eV/atom; raw formation energy = -0.05 eV/atom
1.0
4.249 0.000 0.000
0.000 4.249 0.000
0.000 0.000 6.197
I Sb Bi O
1 1 1 2
Direct
0.000 0.000 0.500
0.000 0.000 0.000
0.500 0.500 0.500
0.000 0.500 0.000
0.500 0.000 0.000


2.
SiBiI2O, PBEsol geometry, DFT meta-GGA SCAN; density of states at the Fermi level = 0.91 states/eV/atom; raw formation energy = 0.12 eV/atom
1.0
3.414 0.000 0.000
0.000 6.332 0.000
0.000 0.000 6.332
I Si Bi O
2 1 1 1
Direct
0.000 0.000 0.500
0.000 0.500 0.000
0.500 0.000 0.000
0.500 0.500 0.500
0.000 0.000 0.000


3.
SnBiIO2, PBEsol geometry, DFT meta-GGA SCAN; density of states at the Fermi level = 0.50 states/eV/atom; raw formation energy = -0.04 eV/atom
1.0
-2.656 3.419 -1.043
-3.177 -2.854 -1.262
-2.228 -0.012 5.635
I Bi O Sn
1 1 2 1
Direct
0.000 0.000 0.500
0.000 0.000 0.000
0.000 0.500 0.000
0.500 0.000 0.000
0.500 0.500 0.500


4.
SnBiI2O, PBEsol geometry, DFT meta-GGA SCAN; density of states at the Fermi level = 0.48 states/eV/atom; raw formation energy = -0.03 eV/atom
1.0
4.253 0.000 0.000
0.000 6.179 0.000
0.000 0.000 6.179
I Bi O Sn
2 1 1 1
Direct
0.000 0.000 0.500
0.000 0.500 0.000
0.000 0.000 0.000
0.500 0.000 0.000
0.500 0.500 0.500


5.
SrBiIO2, PBEsol geometry, DFT meta-GGA SCAN; density of states at the Fermi level = 0.00 states/eV/atom; raw formation energy = -1.92 eV/atom
1.0
5.747 0.000 0.000
0.000 5.860 0.000
0.000 2.930 6.695
I Sr Bi O
2 2 2 4
Direct
0.750 0.245 0.511
0.250 0.755 0.489
0.750 0.906 0.188
0.250 0.094 0.812
0.750 0.576 0.848
0.250 0.424 0.152
0.500 0.733 0.000
0.000 0.733 0.000
0.000 0.267 0.000
0.500 0.267 0.000


6.
SrBiIO2, PBEsol geometry, DFT meta-GGA SCAN; density of states at the Fermi level = 0.13 states/eV/atom; raw formation energy = -0.90 eV/atom
1.0
4.551 0.000 0.000
0.000 4.551 0.000
0.000 0.000 5.965
I Sr Bi O
1 1 1 2
Direct
0.000 0.000 0.500
0.500 0.500 0.500
0.000 0.000 0.000
0.000 0.500 0.000
0.500 0.000 0.000


7.
TbBi2IO4, PBEsol geometry, DFT meta-GGA SCAN; density of states at the Fermi level = 0.00 states/eV/atom; raw formation energy = -1.99 eV/atom
1.0
-2.736 -1.519 2.331
1.746 -3.483 -0.221
5.267 2.159 7.588
I Tb Bi O
1 1 2 4
Direct
0.000 0.000 0.500
0.000 0.000 0.000
0.500 0.500 0.260
0.500 0.500 0.740
0.000 0.500 0.856
0.500 0.000 0.856
0.000 0.500 0.144
0.500 0.000 0.144


8.
BiWI2O, PBEsol geometry, DFT meta-GGA SCAN; density of states at the Fermi level = 0.58 states/eV/atom; raw formation energy = 0.02 eV/atom
1.0
-0.727 -3.730 -0.081
1.964 -0.269 -5.267
5.163 -1.049 1.979
I O Bi W
2 1 1 1
Direct
0.000 0.000 0.500
0.000 0.500 0.000
0.500 0.000 0.000
0.500 0.500 0.500
0.000 0.000 0.000


9.
BiOs3I, PBEsol geometry, DFT meta-GGA SCAN; density of states at the Fermi level = 1.06 states/eV/atom; raw formation energy = 2.72 eV/atom
1.0
-0.352 -3.866 -2.832
4.771 -0.553 0.161
-0.455 -2.800 3.879
I Os Bi
1 3 1
Direct
0.000 0.000 0.000
0.000 0.500 0.000
0.000 0.000 0.500
0.500 0.000 0.000
0.500 0.500 0.500


10.
Bi2OsI, PBEsol geometry, DFT meta-GGA SCAN; density of states at the Fermi level = 0.72 states/eV/atom; raw formation energy = 0.66 eV/atom
1.0
6.875 0.000 0.000
0.000 6.875 0.000
-3.438 -3.438 6.385
I Os Bi
2 2 4
Direct
0.750 0.250 0.500
0.500 0.500 0.000
0.250 0.750 0.500
0.000 0.000 0.000
0.274 0.875 0.250
0.976 0.375 0.250
0.125 0.024 0.750
0.625 0.726 0.750


11.
SiBi2OsI, PBEsol geometry, DFT meta-GGA SCAN; density of states at the Fermi level = 0.41 states/eV/atom; raw formation energy = 1.05 eV/atom
1.0
-0.925 4.223 1.142
-5.359 -0.921 -0.936
-0.649 -1.562 5.252
I Si Os Bi
1 1 1 2
Direct
0.500 0.500 0.500
0.000 0.000 0.000
0.500 0.000 0.000
0.000 0.000 0.500
0.000 0.500 0.000


12.
BiTeOsI2, PBEsol geometry, DFT meta-GGA SCAN; density of states at the Fermi level = 0.45 states/eV/atom; raw formation energy = 1.54 eV/atom
1.0
-4.418 -3.809 -1.020
3.932 -4.103 -1.709
0.392 -1.952 5.590
I Te Os Bi
2 1 1 1
Direct
0.000 0.000 0.500
0.000 0.500 0.000
0.500 0.000 0.000
0.500 0.500 0.500
0.000 0.000 0.000


Total magnetic moment (μB per formula unit)
1.1; 0.0; 0.0; 0.6; 0.0; 0.0; 0.0; 1.3; 0.0; 0.0; 1.1; 5.0